The following is a DFT calculation (PBE+U) of crystalline RbPuCrF6 at its relaxed geometry.

The calculation puts the energy at -241.39 eV for the cell shown. The calculation puts the theoretical density at 5.3 g/cm³.

The structure in CIF format:
```
data_RbPuCrF6
_cell_length_a 7.610
_cell_length_b 7.796
_cell_length_c 10.488
_cell_angle_alpha 90.00
_cell_angle_beta 90.00
_cell_angle_gamma 90.00
_symmetry_space_group_name_H-M 'I m m a'
_symmetry_Int_Tables_number 74
_symmetry_space_group_name_Hall '-I 2b 2'
loop_
_atom_site_label
_atom_site_fract_x
_atom_site_fract_y
_atom_site_fract_z
Rb1 0.000 0.250 0.086
Pu1 0.000 0.000 0.500
Cr1 0.250 0.250 0.750
F1 0.000 0.250 0.378
F2 0.000 0.250 0.652
F3 0.230 0.062 0.883
```